[1]
First-principles (meta-GGA SCAN) data for Zr2CoSi at its PBEsol-relaxed geometry, as listed in the Alexandria database.

a = 3.777 Å, b = 3.590 Å, c = 9.859 Å
α = 90.00°, β = 90.00°, γ = 90.00°
Positions (direct):
Zr1 0.000 0.000 0.000
Zr2 0.000 0.500 0.500
Zr3 0.500 0.000 0.289
Zr4 0.500 0.500 0.789
Co1 0.000 0.000 0.722
Co2 0.000 0.500 0.222
Si1 0.500 0.000 0.573
Si2 0.500 0.500 0.073

Summary:
D(E_F) in states/eV per cell: 7.405
Density in g/cm3: 6.7
Energy relative to the elements, uncorrected in eV per atom: -0.62
SG: Amm2 (38)
Volume in Å³ per atom: 16.71

***

[2]
First-principles (meta-GGA SCAN) data for Cs2TeIr at its PBEsol-relaxed geometry, as listed in the Alexandria database.

a = 8.505 Å, b = 8.505 Å, c = 8.505 Å
α = 90.00°, β = 90.00°, γ = 90.00°
Positions (direct):
Cs1 0.250 0.250 0.250
Cs2 0.250 0.250 0.750
Cs3 0.250 0.750 0.250
Cs4 0.250 0.750 0.750
Cs5 0.750 0.250 0.250
Cs6 0.750 0.250 0.750
Cs7 0.750 0.750 0.250
Cs8 0.750 0.750 0.750
Te1 0.000 0.000 0.000
Te2 0.000 0.500 0.500
Te3 0.500 0.000 0.500
Te4 0.500 0.500 0.000
Ir1 0.000 0.000 0.500
Ir2 0.000 0.500 0.000
Ir3 0.500 0.000 0.000
Ir4 0.500 0.500 0.500

Summary:
D(E_F) in states/eV per cell: 21.072
Density in g/cm3: 6.3
Energy relative to the elements, uncorrected in eV per atom: 0.61
SG: Fm-3m (225)
Volume in Å³ per atom: 38.45

***

[3]
First-principles (meta-GGA SCAN) data for Zn2Hg at its PBEsol-relaxed geometry, as listed in the Alexandria database.

a = 3.629 Å, b = 3.629 Å, c = 4.281 Å
α = 90.00°, β = 90.00°, γ = 90.00°
Positions (direct):
Zn1 0.000 0.500 0.000
Zn2 0.500 0.000 0.000
Hg1 0.000 0.000 0.500

Summary:
D(E_F) in states/eV per cell: 0.953
Density in g/cm3: 9.8
SG: P4/mmm (123)
Formation energy in eV/atom: 0.147
Volume in Å³ per atom: 18.79

***

[4]
First-principles (meta-GGA SCAN) data for Sc5Zn at its PBEsol-relaxed geometry, as listed in the Alexandria database.

a = 4.342 Å, b = 13.578 Å, c = 4.352 Å
α = 90.00°, β = 90.00°, γ = 90.00°
Positions (direct):
Sc1 0.000 0.000 0.000
Sc2 0.000 0.158 0.500
Sc3 0.000 0.333 0.000
Sc4 0.000 0.667 0.000
Sc5 0.000 0.842 0.500
Sc6 0.500 0.167 0.000
Sc7 0.500 0.342 0.500
Sc8 0.500 0.500 0.000
Sc9 0.500 0.658 0.500
Sc10 0.500 0.833 0.000
Zn1 0.000 0.500 0.500
Zn2 0.500 0.000 0.500

Summary:
Relative energy among the computed polymorphs in meV/atom: 59.3
D(E_F) in states/eV per cell: 15.351
Density in g/cm3: 3.8
SG: Cmmm (65)
Formation energy in eV/atom: -0.048
Volume in Å³ per atom: 21.38

***

[5]
First-principles (meta-GGA SCAN) data for KYW at its PBEsol-relaxed geometry, as listed in the Alexandria database.

a = 3.890 Å, b = 4.583 Å, c = 17.658 Å
α = 90.00°, β = 90.00°, γ = 90.00°
Positions (direct):
K1 0.000 0.000 0.000
K2 0.000 0.500 0.500
K3 0.500 0.000 0.500
K4 0.500 0.500 0.000
Y1 0.000 0.000 0.288
Y2 0.000 0.500 0.788
Y3 0.500 0.000 0.788
Y4 0.500 0.500 0.288
W1 0.000 0.000 0.667
W2 0.000 0.500 0.167
W3 0.500 0.000 0.167
W4 0.500 0.500 0.667

Summary:
D(E_F) in states/eV per cell: 8.938
Density in g/cm3: 6.6
SG: Fmm2 (42)
Formation energy in eV/atom: 1.095
Volume in Å³ per atom: 26.23

***

[6]
First-principles (meta-GGA SCAN) data for Fe3CuS at its PBEsol-relaxed geometry, as listed in the Alexandria database.

a = 4.306 Å, b = 4.306 Å, c = 4.306 Å
α = 90.00°, β = 90.00°, γ = 90.00°
Positions (direct):
Fe1 0.000 0.000 0.500
Fe2 0.000 0.500 0.000
Fe3 0.500 0.000 0.000
Cu1 0.000 0.000 0.000
S1 0.500 0.500 0.500

Summary:
D(E_F) in states/eV per cell: 3.731
Density in g/cm3: 5.5
Energy relative to the elements, uncorrected in eV per atom: 1.04
SG: Pm-3m (221)
Volume in Å³ per atom: 15.97

***

[7]
First-principles (meta-GGA SCAN) data for AgTeBr2 at its PBEsol-relaxed geometry, as listed in the Alexandria database.

a = 7.818 Å, b = 7.818 Å, c = 6.624 Å
α = 90.00°, β = 90.00°, γ = 90.00°
Positions (direct):
Ag1 0.000 0.000 0.000
Ag2 0.000 0.500 0.250
Ag3 0.500 0.000 0.750
Ag4 0.500 0.500 0.500
Te1 0.000 0.000 0.500
Te2 0.000 0.500 0.750
Te3 0.500 0.000 0.250
Te4 0.500 0.500 0.000
Br1 0.213 0.750 0.125
Br2 0.250 0.213 0.875
Br3 0.250 0.287 0.375
Br4 0.287 0.750 0.625
Br5 0.713 0.250 0.625
Br6 0.750 0.713 0.375
Br7 0.750 0.787 0.875
Br8 0.787 0.250 0.125

Summary:
Relative energy among the computed polymorphs in meV/atom: 198.5
D(E_F) in states/eV per cell: 10.049
Density in g/cm3: 6.5
Energy relative to the elements, uncorrected in eV per atom: 0.14
SG: I-42d (122)
Volume in Å³ per atom: 25.31

***

[8]
First-principles (meta-GGA SCAN) data for FeIr2W at its PBEsol-relaxed geometry, as listed in the Alexandria database.

a = 8.883 Å, b = 2.707 Å, c = 4.654 Å
α = 90.00°, β = 100.24°, γ = 90.00°
Positions (direct):
Fe1 0.000 0.000 0.000
Fe2 0.500 0.500 0.000
Ir1 0.004 0.500 0.507
Ir2 0.254 0.000 0.779
Ir3 0.504 0.000 0.507
Ir4 0.754 0.500 0.779
W1 0.252 0.500 0.267
W2 0.752 0.000 0.267

Summary:
Relative energy among the computed polymorphs in meV/atom: 201.3
D(E_F) in states/eV per cell: 7.091
Density in g/cm3: 18.8
SG: Cm (8)
Formation energy in eV/atom: -0.140
Volume in Å³ per atom: 13.77

***

[9]
First-principles (meta-GGA SCAN) data for AlCu2Au at its PBEsol-relaxed geometry, as listed in the Alexandria database.

a = 2.885 Å, b = 3.327 Å, c = 5.619 Å
α = 90.00°, β = 90.00°, γ = 90.00°
Positions (direct):
Al1 0.000 0.000 0.000
Cu1 0.000 0.000 0.547
Cu2 0.500 0.500 0.761
Au1 0.500 0.500 0.268

Summary:
D(E_F) in states/eV per cell: 1.114
Density in g/cm3: 10.8
SG: Pmm2 (25)
Formation energy in eV/atom: -0.282
Volume in Å³ per atom: 13.48

***

[10]
First-principles (meta-GGA SCAN) data for Sc2Co12P7 at its PBEsol-relaxed geometry, as listed in the Alexandria database.

a = 8.819 Å, b = 8.819 Å, c = 3.470 Å
α = 90.00°, β = 90.00°, γ = 120.00°
Positions (direct):
Sc1 0.000 0.000 0.000
Sc2 0.333 0.667 0.500
Co1 0.042 0.272 0.500
Co2 0.105 0.717 0.000
Co3 0.230 0.958 0.500
Co4 0.283 0.388 0.000
Co5 0.431 0.200 0.000
Co6 0.511 0.453 0.500
Co7 0.547 0.058 0.500
Co8 0.612 0.895 0.000
Co9 0.728 0.770 0.500
Co10 0.769 0.569 0.000
Co11 0.800 0.231 0.000
Co12 0.942 0.489 0.500
P1 0.074 0.450 0.000
P2 0.256 0.215 0.500
P3 0.376 0.926 0.000
P4 0.550 0.624 0.000
P5 0.667 0.333 0.500
P6 0.785 0.041 0.500
P7 0.959 0.744 0.500

Summary:
D(E_F) in states/eV per cell: 6.108
Density in g/cm3: 7.2
SG: P-6 (174)
Formation energy in eV/atom: -0.754
Volume in Å³ per atom: 11.13

***

[11]
First-principles (meta-GGA SCAN) data for BaTcNO2 at its PBEsol-relaxed geometry, as listed in the Alexandria database.

a = 4.046 Å, b = 4.046 Å, c = 3.861 Å
α = 90.00°, β = 90.00°, γ = 90.00°
Positions (direct):
Ba1 0.000 0.000 0.000
Tc1 0.500 0.500 0.500
N1 0.500 0.500 0.000
O1 0.000 0.500 0.500
O2 0.500 0.000 0.500

Summary:
D(E_F) in states/eV per cell: 2.150
Density in g/cm3: 7.4
Energy relative to the elements, uncorrected in eV per atom: -1.67
SG: P4/mmm (123)
Volume in Å³ per atom: 12.64

***

[12]
First-principles (meta-GGA SCAN) data for ScSbTe2N at its PBEsol-relaxed geometry, as listed in the Alexandria database.

a = 5.424 Å, b = 5.424 Å, c = 5.438 Å
α = 90.00°, β = 90.00°, γ = 90.00°
Positions (direct):
Sc1 0.000 0.000 0.000
Sb1 0.000 0.000 0.500
Te1 0.000 0.500 0.000
Te2 0.500 0.000 0.000
N1 0.500 0.500 0.500

Summary:
Relative energy among the computed polymorphs in meV/atom: 402.5
D(E_F) in states/eV per cell: 3.864
Density in g/cm3: 4.5
Energy relative to the elements, uncorrected in eV per atom: 0.84
SG: P4/mmm (123)
Volume in Å³ per atom: 32.00